[1]
DFT (PBE-GGA) results for TeW2S after structural relaxation.

The calculation puts the electronic total energy at -7.768 eV/atom. Its magnetic moment is 0.00 Bohr magnetons per cell. The calculation puts the energy above the most stable polymorph in this dataset at 0.000 eV/atom.

The space group is I-42d (No. 122) and the conventional cell measures 4.561, 4.561 and 15.728 Å, with angles of 90.00, 90.00 and 90.00 degrees. The inequivalent atoms are Te at (0.000, 0.000, 0.000), W at (0.167, 0.250, 0.625) and S at (0.000, 0.000, 0.500).



[2]
DFT (PBE-GGA) results for TeW2S3 after structural relaxation.

The calculation puts the electronic total energy at -7.398 eV/atom. Its magnetic moment is 0.00 Bohr magnetons per cell. The calculation puts the energy above the most stable polymorph in this dataset at 0.084 eV/atom.

The space group is C2/m (No. 12) and the conventional cell measures 16.131, 3.264 and 11.561 Å, with angles of 90.00, 115.05 and 90.00 degrees. The inequivalent atoms are Te at (0.093, 0.000, 0.199), W at (0.237, 0.500, 0.345), W at (0.246, 0.000, 0.149), S at (0.142, 0.000, 0.728), S at (0.160, 0.500, 0.980) and S at (0.164, 0.500, 0.498).



[3]
DFT (PBE-GGA) results for Te3WS after structural relaxation.

The calculation puts the electronic total energy at -3.912 eV/atom. Its magnetic moment is 2.97 Bohr magnetons per cell. The calculation puts the energy above the most stable polymorph in this dataset at 0.632 eV/atom.

The space group is Pm-3m (No. 221) and the conventional cell measures 5.147, 5.147 and 5.147 Å, with angles of 90.00, 90.00 and 90.00 degrees. The inequivalent atoms are Te at (0.000, 0.000, 0.500), W at (0.500, 0.500, 0.500) and S at (0.000, 0.000, 0.000).



[4]
DFT (PBE-GGA) results for TeW3S after structural relaxation.

The calculation puts the electronic total energy at -6.392 eV/atom. Its magnetic moment is 0.00 Bohr magnetons per cell. The calculation puts the energy above the most stable polymorph in this dataset at 1.721 eV/atom.

The space group is Pm-3m (No. 221) and the conventional cell measures 4.910, 4.910 and 4.910 Å, with angles of 90.00, 90.00 and 90.00 degrees. The inequivalent atoms are Te at (0.000, 0.000, 0.000), W at (0.000, 0.000, 0.500) and S at (0.500, 0.500, 0.500).



[5]
DFT (PBE-GGA) results for TeW2S after structural relaxation.

The calculation puts the electronic total energy at -7.632 eV/atom. Its magnetic moment is 0.00 Bohr magnetons per cell. The calculation puts the energy above the most stable polymorph in this dataset at 0.135 eV/atom.

The space group is Fm-3m (No. 225) and the conventional cell measures 6.408, 6.408 and 6.408 Å, with angles of 90.00, 90.00 and 90.00 degrees. The inequivalent atoms are Te at (0.000, 0.000, 0.000), W at (0.250, 0.250, 0.250) and S at (0.000, 0.000, 0.500).



[6]
DFT (PBE-GGA) results for TeW2S2 after structural relaxation.

The calculation puts the electronic total energy at -7.252 eV/atom. Its magnetic moment is 0.00 Bohr magnetons per cell. The calculation puts the energy above the most stable polymorph in this dataset at 0.000 eV/atom.

The space group is I4/mmm (No. 139) and the conventional cell measures 4.348, 4.348 and 9.730 Å, with angles of 90.00, 90.00 and 90.00 degrees. The inequivalent atoms are Te at (0.000, 0.000, 0.000), W at (0.000, 0.500, 0.250) and S at (0.000, 0.000, 0.355).



[7]
DFT (PBE-GGA) results for TeW3S after structural relaxation.

The calculation puts the electronic total energy at -8.113 eV/atom. Its magnetic moment is 0.00 Bohr magnetons per cell. The calculation puts the energy above the most stable polymorph in this dataset at 0.000 eV/atom.

The space group is Pm-3m (No. 221) and the conventional cell measures 4.521, 4.521 and 4.521 Å, with angles of 90.00, 90.00 and 90.00 degrees. The inequivalent atoms are Te at (0.000, 0.000, 0.000), W at (0.000, 0.500, 0.500) and S at (0.500, 0.500, 0.500).



[8]
DFT (PBE-GGA) results for TeW2S3 after structural relaxation.

The calculation puts the electronic total energy at -7.482 eV/atom. Its magnetic moment is 0.00 Bohr magnetons per cell. The calculation puts the energy above the most stable polymorph in this dataset at 0.000 eV/atom.

The space group is P3m1 (No. 156) and the conventional cell measures 3.2723, 3.2723 and 28.5901 Å, with angles of 90.00, 90.00 and 120.00 degrees. The inequivalent atoms are Te at (0.0000, 0.0000, 0.0000), Te at (0.0000, 0.0000, 0.1358), W at (0.0000, 0.0000, 0.3256), W at (0.0000, 0.0000, 0.8092), W at (0.3333, 0.6667, 0.0679), W at (0.3333, 0.6667, 0.5667), S at (0.0000, 0.0000, 0.5127), S at (0.0000, 0.0000, 0.6207), S at (0.3333, 0.6667, 0.2716), S at (0.3333, 0.6667, 0.3796), S at (0.3333, 0.6667, 0.7552) and S at (0.3333, 0.6667, 0.8632).



[9]
DFT (PBE-GGA) results for Y2TeS2 after structural relaxation.

The calculation puts the electronic total energy at -6.612 eV/atom. Its magnetic moment is 0.00 Bohr magnetons per cell.

The space group is C2/c (No. 15) and the conventional cell measures 9.284, 10.697 and 6.742 Å, with angles of 90.00, 123.50 and 90.00 degrees. The inequivalent atoms are Y at (0.000, 0.089, 0.250), Y at (0.000, 0.325, 0.750), Te at (0.000, 0.373, 0.250) and S at (0.162, 0.113, 0.025).



[10]
DFT (PBE-GGA) results for Y3Te2S2 after structural relaxation.

The calculation puts the electronic total energy at -6.590 eV/atom. Its magnetic moment is 0.00 Bohr magnetons per cell.

The space group is C2/m (No. 12) and the conventional cell measures 13.334, 4.036 and 7.391 Å, with angles of 90.00, 98.20 and 90.00 degrees. The inequivalent atoms are Y at (0.000, 0.000, 0.000), Y at (0.241, 0.000, 0.763), Te at (0.117, 0.000, 0.381) and S at (0.130, 0.500, 0.903).



[11]
DFT (PBE-GGA) results for YTe2S after structural relaxation.

The calculation puts the electronic total energy at -4.010 eV/atom. Its magnetic moment is 0.00 Bohr magnetons per cell.

The space group is R-3m (No. 166, hexagonal axes) and the conventional cell measures 3.7077, 3.7077 and 29.3192 Å, with angles of 90.00, 90.00 and 120.00 degrees. The inequivalent atoms are Y at (0.0000, 0.0000, 0.0000), Te at (0.0000, 0.0000, 0.1019) and S at (0.0000, 0.0000, 0.5000).



[12]
DFT (PBE-GGA) results for Y2TeS2 after structural relaxation.

The calculation puts the electronic total energy at -6.496 eV/atom. Its magnetic moment is 0.00 Bohr magnetons per cell.

The space group is P4/mbm (No. 127) and the conventional cell measures 8.037, 8.037 and 3.562 Å, with angles of 90.00, 90.00 and 90.00 degrees. The inequivalent atoms are Y at (0.155, 0.345, 0.000), Te at (0.000, 0.000, 0.000) and S at (0.133, 0.633, 0.500).



Please write out number 1 again, unchanged.
DFT (PBE-GGA) results for TeW2S after structural relaxation.

The calculation puts the electronic total energy at -7.768 eV/atom. Its magnetic moment is 0.00 Bohr magnetons per cell. The calculation puts the energy above the most stable polymorph in this dataset at 0.000 eV/atom.

The space group is I-42d (No. 122) and the conventional cell measures 4.561, 4.561 and 15.728 Å, with angles of 90.00, 90.00 and 90.00 degrees. The inequivalent atoms are Te at (0.000, 0.000, 0.000), W at (0.167, 0.250, 0.625) and S at (0.000, 0.000, 0.500).